# 1
Li4Sb2Pb: relaxed, GGA-PBE.

## Properties
ΔE_f (raw) ... -0.469 eV per atom
Energy ... -3.270 eV per atom
Polymorph energy (0 for the lowest one) ... 0.0 meV/atom

The structure in CIF format:
```
data_Li4Sb2Pb
_chemical_formula_sum 'Li12 Sb6 Pb3'
_cell_length_a 4.7908
_cell_length_b 4.7908
_cell_length_c 24.1200
_cell_angle_alpha 90.00
_cell_angle_beta 90.00
_cell_angle_gamma 120.00
_symmetry_space_group_name_H-M 'R -3 m'
_symmetry_Int_Tables_number 166
_symmetry_space_group_name_Hall '-R 3 2"'
loop_
_atom_site_label
_atom_site_type_symbol
_atom_site_fract_x
_atom_site_fract_y
_atom_site_fract_z
_atom_site_occupancy
Li1 Li 0.0000 0.0000 0.1009 1
Li2 Li 0.0000 0.0000 0.3683 1
Sb1 Sb 0.0000 0.0000 0.2505 1
Pb1 Pb 0.0000 0.0000 0.5000 1
```


# 2
Li5Sb4Pb: relaxed, GGA-PBE.

## Properties
ΔE_f (raw) ... -0.385 eV per atom
Energy ... -3.362 eV per atom

The structure in CIF format:
```
data_Li5Sb4Pb
_chemical_formula_sum 'Li5 Sb4 Pb1'
_cell_length_a 3.2039
_cell_length_b 3.2039
_cell_length_c 21.3909
_cell_angle_alpha 90.00
_cell_angle_beta 90.00
_cell_angle_gamma 90.00
_symmetry_space_group_name_H-M 'P 4/m m m'
_symmetry_Int_Tables_number 123
_symmetry_space_group_name_Hall '-P 4 2'
loop_
_atom_site_label
_atom_site_type_symbol
_atom_site_fract_x
_atom_site_fract_y
_atom_site_fract_z
_atom_site_occupancy
Li1 Li 0.0000 0.0000 0.0000 1
Li2 Li 0.0000 0.0000 0.1984 1
Li3 Li 0.0000 0.0000 0.3930 1
Sb1 Sb 0.5000 0.5000 0.1000 1
Sb2 Sb 0.5000 0.5000 0.2990 1
Pb1 Pb 0.5000 0.5000 0.5000 1
```


# 3
Li2Sb2Pb: relaxed, GGA-PBE.

## Properties
ΔE_f (raw) ... -0.160 eV per atom
Energy ... -3.316 eV per atom
Polymorph energy (0 for the lowest one) ... 152.5 meV/atom

The structure in CIF format:
```
data_Li2Sb2Pb
_chemical_formula_sum 'Li4 Sb4 Pb2'
_cell_length_a 4.7881
_cell_length_b 7.7826
_cell_length_c 7.1285
_cell_angle_alpha 90.00
_cell_angle_beta 90.10
_cell_angle_gamma 90.00
_symmetry_space_group_name_H-M 'C 1 2/m 1'
_symmetry_Int_Tables_number 12
loop_
_symmetry_equiv_pos_as_xyz
'x,y,z'
'-x,-y,-z'
'-x,y,-z'
'x,-y,z'
'x+1/2,y+1/2,z'
'-x+1/2,-y+1/2,-z'
'-x+1/2,y+1/2,-z'
'x+1/2,-y+1/2,z'
loop_
_atom_site_label
_atom_site_type_symbol
_atom_site_fract_x
_atom_site_fract_y
_atom_site_fract_z
_atom_site_occupancy
Li1 Li 0.0000 0.1706 0.0000 1
Sb1 Sb 0.0012 0.5000 0.7955 1
Pb1 Pb 0.0000 0.0000 0.5000 1
```


Look up the energy of the first one.
-3.270 eV per atom


Number 2 is which compound?
Li5Sb4Pb


Among the records above, which one has the highest energy?
Li4Sb2Pb


What did the second record say?
Li5Sb4Pb: relaxed, GGA-PBE.

## Properties
ΔE_f (raw) ... -0.385 eV per atom
Energy ... -3.362 eV per atom

The structure in CIF format:
```
data_Li5Sb4Pb
_chemical_formula_sum 'Li5 Sb4 Pb1'
_cell_length_a 3.2039
_cell_length_b 3.2039
_cell_length_c 21.3909
_cell_angle_alpha 90.00
_cell_angle_beta 90.00
_cell_angle_gamma 90.00
_symmetry_space_group_name_H-M 'P 4/m m m'
_symmetry_Int_Tables_number 123
_symmetry_space_group_name_Hall '-P 4 2'
loop_
_atom_site_label
_atom_site_type_symbol
_atom_site_fract_x
_atom_site_fract_y
_atom_site_fract_z
_atom_site_occupancy
Li1 Li 0.0000 0.0000 0.0000 1
Li2 Li 0.0000 0.0000 0.1984 1
Li3 Li 0.0000 0.0000 0.3930 1
Sb1 Sb 0.5000 0.5000 0.1000 1
Sb2 Sb 0.5000 0.5000 0.2990 1
Pb1 Pb 0.5000 0.5000 0.5000 1
```